Li4Ti3Mn3Te2O16 | GGA+U | optimized geometry

- Total magnetization: 0.464 μB per atom
- Crystal system: monoclinic
- DFT total energy: -7.03 eV per atom

The structure in POSCAR format:
```
Li4Ti3Mn3Te2O16
1.0
5.277 -3.009 0.000
5.277 3.009 0.000
-0.004 0.000 10.307
Li Ti Mn Te O
4 3 3 2 16
Direct
0.000 0.000 0.000 Li
0.012 0.012 0.498 Li
0.339 0.339 0.090 Li
0.680 0.680 0.589 Li
0.174 0.672 0.768 Ti
0.672 0.174 0.768 Ti
0.835 0.835 0.270 Ti
0.179 0.179 0.778 Mn
0.344 0.844 0.279 Mn
0.844 0.344 0.279 Mn
0.345 0.345 0.497 Te
0.651 0.651 0.997 Te
0.010 0.010 0.679 O
0.013 0.013 0.186 O
0.050 0.520 0.645 O
0.166 0.705 0.383 O
0.180 0.180 0.412 O
0.325 0.830 0.900 O
0.354 0.354 0.875 O
0.507 0.507 0.673 O
0.520 0.050 0.645 O
0.522 0.522 0.133 O
0.524 0.987 0.174 O
0.674 0.674 0.376 O
0.705 0.166 0.383 O
0.830 0.325 0.900 O
0.859 0.859 0.869 O
0.987 0.524 0.174 O
```